No. 1
Computed, not measured: a geometry-optimized TlAs2Ir structure at the PBE level of DFT.

a = 4.833 Å, b = 4.024 Å, c = 5.211 Å
α = 90.00°, β = 115.35°, γ = 90.00°
Space group P2/m (No. 10)
Asymmetric unit:
Tl  0.000  0.000  0.000
As  0.287  0.500  0.633
Ir  0.500  0.000  0.500

Output
The formation energy from the elements comes out at -0.2 eV/f.u.

No. 2
Computed, not measured: a geometry-optimized Tl7CdHg5 structure at the PBE level of DFT.

a = 11.826 Å, b = 13.763 Å, c = 5.199 Å
α = 90.00°, β = 115.13°, γ = 90.00°
Space group Cm (No. 8)
Asymmetric unit:
Tl  0.000  0.000  0.000
Tl  0.009  0.500  0.010
Tl  0.203  0.000  0.697
Tl  0.274  0.283  0.776
Tl  0.362  0.123  0.360
Cd  0.307  0.500  0.302
Hg  0.094  0.268  0.097
Hg  0.169  0.500  0.665
Hg  0.485  0.332  0.489

Output
The formation energy from the elements comes out at 0.2 eV/f.u.

No. 3
Computed, not measured: a geometry-optimized Rb2SeICl6 structure at the PBE level of DFT.

a = 8.253 Å, b = 8.253 Å, c = 10.511 Å
α = 90.00°, β = 90.00°, γ = 90.00°
Space group I4/mmm (No. 139)
Asymmetric unit:
Rb  0.000  0.500  0.250
Se  0.000  0.000  0.000
I  0.000  0.000  0.500
Cl  0.000  0.000  0.247
Cl  0.209  0.209  0.000

Output
The value obtained for the formation energy without anion corrections is -0.90 eV/atom.

No. 4
Computed, not measured: a geometry-optimized NaTi2Cl6 structure at the PBE level of DFT.

a = 7.0517 Å, b = 7.0517 Å, c = 21.0315 Å
α = 90.00°, β = 90.00°, γ = 120.00°
Space group R3 (No. 146, hexagonal axes)
Asymmetric unit:
Na  0.0000  0.0000  0.0000
Ti  0.0000  0.0000  0.2711
Ti  0.0000  0.0000  0.3980
Cl  0.0255  0.6812  0.9213
Cl  0.0272  0.3424  0.0807

Output
The value obtained for the formation energy without anion corrections is -1.43 eV/atom.

No. 5
Computed, not measured: a geometry-optimized Pr7Cd4In structure at the PBE level of DFT.

a = 15.055 Å, b = 6.031 Å, c = 9.603 Å
α = 90.00°, β = 120.43°, γ = 90.00°
Space group C2/m (No. 12)
Asymmetric unit:
Pr  0.000  0.000  0.000
Pr  0.072  0.500  0.405
Pr  0.184  0.500  0.883
Pr  0.237  0.000  0.702
Cd  0.026  0.000  0.681
Cd  0.188  0.000  0.341
In  0.000  0.500  0.000

Output
The formation energy from the elements comes out at -1.7 eV/f.u.

No. 6
Computed, not measured: a geometry-optimized TiGaPdF2 structure at the PBE level of DFT.

a = 3.848 Å, b = 3.848 Å, c = 5.427 Å
α = 90.00°, β = 90.00°, γ = 90.00°
Space group P4/mmm (No. 123)
Asymmetric unit:
Ti  0.000  0.000  0.000
Ga  0.500  0.500  0.500
Pd  0.500  0.500  0.000
F  0.000  0.500  0.500

Output
The value obtained for the formation energy without anion corrections is -0.93 eV/atom.

No. 7
Computed, not measured: a geometry-optimized LiSiSb2I structure at the PBE level of DFT.

a = 5.257 Å, b = 5.257 Å, c = 4.590 Å
α = 90.00°, β = 90.00°, γ = 90.00°
Space group P4/mmm (No. 123)
Asymmetric unit:
Li  0.000  0.000  0.000
Si  0.000  0.000  0.500
Sb  0.000  0.500  0.000
I  0.500  0.500  0.500

Output
The value obtained for the formation energy without anion corrections is 0.59 eV/atom.

No. 8
Computed, not measured: a geometry-optimized Ca2YCr structure at the PBE level of DFT.

a = 3.752 Å, b = 3.752 Å, c = 8.973 Å
α = 90.00°, β = 90.00°, γ = 90.00°
Space group P4/mmm (No. 123)
Asymmetric unit:
Ca  0.000  0.000  0.211
Y  0.500  0.500  0.500
Cr  0.500  0.500  0.000

Output
The formation energy from the elements comes out at 1.8 eV/f.u.

No. 9
Computed, not measured: a geometry-optimized HfGeAsSe2 structure at the PBE level of DFT.

a = 5.117 Å, b = 5.117 Å, c = 5.233 Å
α = 90.00°, β = 90.00°, γ = 90.00°
Space group P4/mmm (No. 123)
Asymmetric unit:
Hf  0.000  0.000  0.000
Ge  0.500  0.500  0.500
As  0.000  0.000  0.500
Se  0.000  0.500  0.000

Output
The value obtained for the formation energy without anion corrections is -0.04 eV/atom.

No. 10
Computed, not measured: a geometry-optimized HfIn2SbP structure at the PBE level of DFT.

a = 5.476 Å, b = 5.476 Å, c = 5.082 Å
α = 90.00°, β = 90.00°, γ = 90.00°
Space group P4/mmm (No. 123)
Asymmetric unit:
Hf  0.000  0.000  0.000
In  0.000  0.500  0.500
Sb  0.500  0.500  0.500
P  0.500  0.500  0.000

Output
The value obtained for the formation energy without anion corrections is 1.14 eV/atom.

No. 11
Computed, not measured: a geometry-optimized Pr3Sm8Er2 structure at the PBE level of DFT.

a = 13.219 Å, b = 11.823 Å, c = 6.217 Å
α = 90.00°, β = 113.37°, γ = 90.00°
Space group C2/m (No. 12)
Asymmetric unit:
Pr  0.000  0.000  0.000
Pr  0.000  0.242  0.500
Sm  0.056  0.500  0.284
Sm  0.157  0.000  0.550
Sm  0.175  0.257  0.176
Er  0.211  0.500  0.857

Output
The formation energy from the elements comes out at 2.0 eV/f.u.

No. 12
Computed, not measured: a geometry-optimized LaReN4 structure at the PBE level of DFT.

a = 5.400 Å, b = 5.400 Å, c = 12.517 Å
α = 90.00°, β = 90.00°, γ = 90.00°
Space group I4_1/a (No. 88, origin choice 2)
Asymmetric unit:
La  0.000  0.250  0.125
Re  0.000  0.250  0.625
N  0.127  0.499  0.294

Output
The value obtained for the formation energy without anion corrections is -0.12 eV/atom.

No. 13
Computed, not measured: a geometry-optimized ReTcW2 structure at the PBE level of DFT.

a = 3.134 Å, b = 3.134 Å, c = 6.352 Å
α = 90.00°, β = 90.00°, γ = 90.00°
Space group P4mm (No. 99)
Asymmetric unit:
Re  0.000  0.000  0.000
Tc  0.500  0.500  0.274
W  0.000  0.000  0.507
W  0.500  0.500  0.766

Output
The formation energy from the elements comes out at 0.4 eV/f.u.

No. 14
Computed, not measured: a geometry-optimized FeReMo2 structure at the PBE level of DFT.

a = 2.641 Å, b = 3.999 Å, c = 5.575 Å
α = 90.00°, β = 90.00°, γ = 90.00°
Space group Pmm2 (No. 25)
Asymmetric unit:
Fe  0.000  0.000  0.000
Re  0.500  0.500  0.772
Mo  0.000  0.000  0.512
Mo  0.500  0.500  0.239

Output
The formation energy from the elements comes out at 1.0 eV/f.u.

No. 15
Computed, not measured: a geometry-optimized ScAlMoAu2 structure at the PBE level of DFT.

a = 4.653 Å, b = 4.653 Å, c = 4.705 Å
α = 90.00°, β = 90.00°, γ = 90.00°
Space group P4/mmm (No. 123)
Asymmetric unit:
Sc  0.000  0.000  0.000
Al  0.500  0.500  0.500
Mo  0.500  0.500  0.000
Au  0.000  0.500  0.500

Output
The formation energy from the elements comes out at 1.7 eV/f.u.

No. 16
Computed, not measured: a geometry-optimized GaHg2I2 structure at the PBE level of DFT.

a = 6.396 Å, b = 6.396 Å, c = 8.680 Å
α = 90.00°, β = 90.00°, γ = 90.00°
Space group I4/mmm (No. 139)
Asymmetric unit:
Ga  0.000  0.000  0.000
Hg  0.000  0.000  0.340
I  0.000  0.500  0.250

Output
The value obtained for the formation energy without anion corrections is -0.07 eV/atom.

No. 17
Computed, not measured: a geometry-optimized La2NdOs2N6 structure at the PBE level of DFT.

a = 5.7958 Å, b = 5.7958 Å, c = 18.6041 Å
α = 90.00°, β = 90.00°, γ = 120.00°
Space group R-3m (No. 166, hexagonal axes)
Asymmetric unit:
La  0.0000  0.0000  0.2077
Nd  0.0000  0.0000  0.0000
Os  0.0000  0.0000  0.4010
N  0.0062  0.5031  0.7664

Output
The value obtained for the formation energy without anion corrections is -0.51 eV/atom.

No. 18
Computed, not measured: a geometry-optimized La4Br3N2 structure at the PBE level of DFT.

a = 14.953 Å, b = 3.640 Å, c = 8.954 Å
α = 90.00°, β = 102.92°, γ = 90.00°
Space group C2/m (No. 12)
Asymmetric unit:
La  0.096  0.000  0.215
La  0.183  0.500  0.601
Br  0.000  0.000  0.500
Br  0.095  0.500  0.906
N  0.195  0.500  0.318

Output
The value obtained for the formation energy without anion corrections is -1.52 eV/atom.

No. 19
Computed, not measured: a geometry-optimized TiRe3F structure at the PBE level of DFT.

a = 4.206 Å, b = 4.206 Å, c = 4.206 Å
α = 90.00°, β = 90.00°, γ = 90.00°
Space group Pm-3m (No. 221)
Asymmetric unit:
Ti  0.000  0.000  0.000
Re  0.000  0.500  0.500
F  0.500  0.500  0.500

Output
The value obtained for the formation energy without anion corrections is 1.02 eV/atom.

No. 20
Computed, not measured: a geometry-optimized AsRu2W structure at the PBE level of DFT.

a = 6.195 Å, b = 6.195 Å, c = 6.195 Å
α = 90.00°, β = 90.00°, γ = 90.00°
Space group F-43m (No. 216)
Asymmetric unit:
As  0.000  0.000  0.000
Ru  0.000  0.000  0.500
Ru  0.250  0.250  0.250
W  0.250  0.250  0.750

Output
The formation energy from the elements comes out at 1.3 eV/f.u.